The following is a DFT calculation (PBE) of NdScSi after structural relaxation.

Calculated values
* total energy: -5.940 eV per atom
* space-group type: F-43m
* relative energy among the computed polymorphs: 0.189 eV/atom
* ΔE_f (raw): -1.30 eV per formula unit

a = 4.7968 Å, b = 4.7968 Å, c = 4.7968 Å
α = 60.00°, β = 60.00°, γ = 60.00°
Fractional coordinates of all 3 atoms:
Nd (0.0000, 0.0000, 0.0000)
Sc (0.5000, 0.5000, 0.5000)
Si (0.7500, 0.7500, 0.7500)

***

The following is a DFT calculation (PBE) of NdSc4Si4 after structural relaxation.

Calculated values
* total energy: -6.291 eV per atom
* space-group type: P4_2/n
* relative energy among the computed polymorphs: 0.250 eV/atom
* ΔE_f (raw): -4.83 eV per formula unit

a = 8.8417 Å, b = 8.8417 Å, c = 5.3354 Å
α = 90.00°, β = 90.00°, γ = 90.00°
Fractional coordinates of all 18 atoms:
Nd (0.2500, 0.2500, 0.2500)
Nd (0.7500, 0.7500, 0.7500)
Sc (0.1117, 0.6336, 0.1310)
Sc (0.1336, 0.8883, 0.6310)
Sc (0.3664, 0.6117, 0.6310)
Sc (0.3883, 0.8664, 0.1310)
Sc (0.6117, 0.1336, 0.8690)
Sc (0.6336, 0.3883, 0.3690)
Sc (0.8664, 0.1117, 0.3690)
Sc (0.8883, 0.3664, 0.8690)
Si (0.0610, 0.5822, 0.6430)
Si (0.0822, 0.9390, 0.1430)
Si (0.4178, 0.5610, 0.1430)
Si (0.4390, 0.9178, 0.6430)
Si (0.5610, 0.0822, 0.3570)
Si (0.5822, 0.4390, 0.8570)
Si (0.9178, 0.0610, 0.8570)
Si (0.9390, 0.4178, 0.3570)